[1]
PmScInGa (PBE-GGA, optimized geometry); offset from the most stable computed form = 0 meV/atom; total magnetic moment = 0.000 μB per cell; E = -18.89 eV for the cell shown; DOS(E_F) = 2.5 states/eV per cell; SG = P4mm, No. 99; energy of formation from the pure elements = -0.51 eV/atom
1.0
-3.209 -1.117 -1.129
0.170 -2.771 2.261
-3.245 4.053 5.211
Sc In Ga Pm
1 1 1 1
Cartesian
-3.439 0.453 3.649 Sc
-2.692 3.363 4.324 In
-1.249 1.560 2.006 Ga
-1.914 -1.451 1.200 Pm


[2]
PmSmInGa (PBE-GGA, optimized geometry); offset from the most stable computed form = 0 meV/atom; total magnetic moment = 0.000 μB per cell; E = -17.34 eV for the cell shown; DOS(E_F) = 2.2 states/eV per cell; SG = P4mm, No. 99; energy of formation from the pure elements = -0.53 eV/atom
1.0
-0.464 1.955 3.131
2.581 -2.085 1.684
5.418 4.890 -2.250
Ga Sm In Pm
1 1 1 1
Cartesian
1.945 1.756 -0.808 Ga
4.271 2.835 1.073 Sm
4.633 4.182 -1.924 In
1.713 0.526 2.136 Pm


[3]
PmSmInGa (PBE-GGA, optimized geometry); offset from the most stable computed form = 19 meV/atom; total magnetic moment = 0.000 μB per cell; E = -17.27 eV for the cell shown; DOS(E_F) = 1.5 states/eV per cell; SG = F-43m, No. 216; energy of formation from the pure elements = -0.51 eV/atom
1.0
5.310 0.000 0.000
2.655 4.599 0.000
2.655 1.533 4.336
Pm Sm Ga In
1 1 1 1
Cartesian
0.000 0.000 0.000 Pm
5.310 3.066 2.168 Sm
2.655 1.533 1.084 Ga
7.966 4.599 3.252 In